VASP calculation (GGA+U) on RbCoP2O after structural relaxation.

Cell lengths 4.115, 4.115, 6.597 Å; angles 90.00, 90.00, 90.00 degrees
Sites, in units of the cell vectors:
Co 0.000 0.000 0.000
P 0.000 0.500 0.000
O 0.000 0.000 0.500
P 0.500 0.000 0.000
Rb 0.500 0.500 0.500

Calculated values
- Offset from the most stable computed form: 0.0 meV/atom
- Calculated total energy: -20.24 eV for the cell shown
- Space group: P4/mmm, No. 123
- Magnetization: 1.14 μB/cell